Entry 1:
This record from Alexandria describes a geometry-optimized Cr2AsCl structure. The functional is GGA-PBE.

Unit cell a=3.427 b=3.427 c=7.125 alpha=90.00 beta=90.00 gamma=112.85
Element x y z (fractional)
1 Cr 0.000 0.000 0.228
2 Cr 0.000 0.000 0.772
3 As 0.500 0.500 0.000
4 Cl 0.500 0.500 0.500

Computed properties:
V   77.1 Å³/cell
ΔE_f (raw)   0.10 eV/atom
Energy relative to the lowest polymorph listed for this composition   21.4 kJ per mole of atoms

Entry 2:
This record from Alexandria describes a geometry-optimized CrAsCl structure. The functional is GGA-PBE.

Unit cell a=7.182 b=7.182 c=7.182 alpha=156.79 beta=156.79 gamma=33.05
Element x y z (fractional)
1 Cr 0.000 0.000 0.000
2 As 0.380 0.380 0.000
3 Cl 0.603 0.603 0.000

Computed properties:
V   57.5 Å³/cell
ΔE_f (raw)   0.00 eV/atom
Energy relative to the lowest polymorph listed for this composition   24.2 kJ per mole of atoms

Entry 3:
This record from Alexandria describes a geometry-optimized CrAsCl2 structure. The functional is GGA-PBE.

Unit cell a=6.569 b=6.569 c=6.569 alpha=146.68 beta=146.68 gamma=47.84
Element x y z (fractional)
1 Cr 0.000 0.000 0.000
2 As 0.250 0.750 0.500
3 Cl 0.500 0.500 0.000
4 Cl 0.750 0.250 0.500

Computed properties:
V   85.2 Å³/cell
ΔE_f (raw)   0.19 eV/atom
Energy relative to the lowest polymorph listed for this composition   67.7 kJ per mole of atoms